[1]
The following is a DFT calculation (GGA-PBE) of a geometry-optimized Tl3Pt5 structure.

Lattice parameters (Å, degrees): 8.1003 8.1003 5.4352 90.00 90.00 120.00
Space group P6_3/mcm (No. 193)
One atom of each set of equivalent atoms:
Tl (0.0000, 0.3944, 0.2500) [6 per cell]
Pt (0.0000, 0.1984, 0.7500) [6 per cell]
Pt (0.3333, 0.6667, 0.0000) [4 per cell]

Values from the calculation:
Spin magnetization: 0.000 μB/atom
E: -4.485 eV/atom

***

[2]
The following is a DFT calculation (GGA-PBE) of a geometry-optimized Tl2Pt structure.

Lattice parameters (Å, degrees): 6.504 6.670 4.040 90.00 90.00 90.00
Space group Pnnm (No. 58)
One atom of each set of equivalent atoms:
Tl (0.211, 0.202, 0.000) [4 per cell]
Pt (0.000, 0.000, 0.500) [2 per cell]

Values from the calculation:
Spin magnetization: 0.000 μB/atom
E: -3.653 eV/atom

***

[3]
The following is a DFT calculation (GGA-PBE) of a geometry-optimized TlPt3 structure.

Lattice parameters (Å, degrees): 2.9882 2.9882 9.1480 90.00 90.00 120.00
Space group P-6m2 (No. 187)
One atom of each set of equivalent atoms:
Tl (0.0000, 0.0000, 0.0000) [1 per cell]
Pt (0.0000, 0.0000, 0.5000) [1 per cell]
Pt (0.3333, 0.6667, 0.2577) [2 per cell]

Values from the calculation:
Spin magnetization: 0.009 μB/atom
E: -4.871 eV/atom

***

[4]
The following is a DFT calculation (GGA-PBE) of a geometry-optimized Tl3Pt structure.

Lattice parameters (Å, degrees): 6.3130 6.3130 6.7759 90.00 90.00 120.00
Space group P6_322 (No. 182)
One atom of each set of equivalent atoms:
Tl (0.0000, 0.3029, 0.0000) [6 per cell]
Pt (0.3333, 0.6667, 0.2500) [2 per cell]

Values from the calculation:
Spin magnetization: 0.000 μB/atom
E: -3.307 eV/atom

***

[5]
The following is a DFT calculation (GGA-PBE) of a geometry-optimized Tl2Pt structure.

Lattice parameters (Å, degrees): 6.846 6.846 6.846 90.00 90.00 90.00
Space group Pa-3 (No. 205)
One atom of each set of equivalent atoms:
Tl (0.163, 0.163, 0.163) [8 per cell]
Pt (0.000, 0.000, 0.500) [4 per cell]

Values from the calculation:
Spin magnetization: 0.000 μB/atom
E: -3.673 eV/atom

***

[6]
The following is a DFT calculation (GGA-PBE) of a geometry-optimized TlPt structure.

Lattice parameters (Å, degrees): 6.875 8.243 13.698 90.00 90.00 90.00
Space group Fddd (No. 70, origin choice 2)
One atom of each set of equivalent atoms:
Tl (0.125, 0.312, 0.125) [16 per cell]
Pt (0.125, 0.125, 0.526) [16 per cell]

Values from the calculation:
Spin magnetization: 0.000 μB/atom
E: -4.099 eV/atom

***

Number 1: energy of formation from the pure elements 0.18 eV/atom. Number 2: energy of formation from the pure elements -0.06 eV/atom. Number 3: energy of formation from the pure elements 0.25 eV/atom. Number 4: energy of formation from the pure elements -0.02 eV/atom. Number 5: energy of formation from the pure elements -0.08 eV/atom. Number 6: energy of formation from the pure elements 0.10 eV/atom.